[1]
{"formula": "Re2OsPb", "functional": "PBEsol", "state": "relaxed", "lattice_angstrom": [[4.508, 0.000, 0.000], [2.254, 3.904, 0.000], [2.254, 1.301, 3.680]], "species": ["Os", "Pb", "Re", "Re"], "fractional_positions": [[0.500, 0.500, 0.500], [0.250, 0.250, 0.250], [0.000, 0.000, 0.000], [0.750, 0.750, 0.750]], "magnetic_moment_mub_per_fu": 0.0, "e_form_ev_per_atom": 1.02}

=====

[2]
{"formula": "Re2OsPb", "functional": "PBEsol", "state": "relaxed", "lattice_angstrom": [[-2.743, 0.687, 0.541], [0.507, -0.203, 2.827], [1.954, 7.644, 0.199]], "species": ["Os", "Pb", "Re", "Re"], "fractional_positions": [[0.500, 0.500, 0.000], [0.500, 0.500, 0.500], [0.000, 0.000, 0.777], [0.000, 0.000, 0.223]], "magnetic_moment_mub_per_fu": 0.0, "e_form_ev_per_atom": 0.75}

=====

[3]
{"formula": "Re2OsPb", "functional": "PBEsol", "state": "relaxed", "lattice_angstrom": [[-1.907, -2.128, -0.383], [-0.330, -1.189, -2.606], [5.771, -7.304, 1.008]], "species": ["Os", "Pb", "Re", "Re"], "fractional_positions": [[0.492, 0.492, 0.525], [0.250, 0.250, 0.251], [0.008, 0.008, 0.975], [0.750, 0.750, 0.749]], "magnetic_moment_mub_per_fu": 0.0, "e_form_ev_per_atom": 0.66}